[1]
VCuTc3 after structural relaxation. Source: the Alexandria database, functional PBE.

Cell lengths 4.434, 4.434, 4.434 Å; angles 90.00, 90.00, 90.00 degrees
Sites, in units of the cell vectors:
Tc1 0.000 0.500 0.000
Tc2 0.500 0.000 0.000
V1 0.000 0.000 0.000
Tc3 0.000 0.000 0.500
Cu1 0.500 0.500 0.500

## Properties
As for the energy above the most stable polymorph in this dataset: 0 meV per atom. The calculated volume is 17.44 Å³ per atom.

=====

[2]
Pm2Be2PdO6 after structural relaxation. Source: the Alexandria database, functional PBE.

Cell lengths 5.253, 5.253, 6.426 Å; angles 65.87, 65.87, 60.00 degrees
Sites, in units of the cell vectors:
Pm1 0.790 0.790 0.629
Pm2 0.210 0.210 0.371
Be1 0.573 0.573 0.280
O1 0.737 0.737 0.292
O2 0.263 0.765 0.708
Be2 0.427 0.427 0.720
Pd1 0.000 0.000 0.000
O3 0.737 0.235 0.292
O4 0.765 0.263 0.708
O5 0.263 0.263 0.708
O6 0.235 0.737 0.292

## Properties
The value obtained for the uncorrected formation energy is -2.268 eV per atom. The calculated volume is 12.31 Å³ per atom.

=====

[3]
NaTa2Ir after structural relaxation. Source: the Alexandria database, functional PBE.

Cell lengths 4.584, 4.584, 4.584 Å; angles 60.00, 60.00, 60.00 degrees
Sites, in units of the cell vectors:
Ir1 0.500 0.500 0.500
Ta1 0.250 0.250 0.250
Ta2 0.750 0.750 0.750
Na1 0.000 0.000 0.000

## Properties
As for the energy above the most stable polymorph in this dataset: 0 meV per atom. The calculated volume is 17.03 Å³ per atom.

=====

Sequential total DFT energy (no corrections) output: -37.42, -76.84, -32.17 eV per cell